Computed, not measured: an optimized crystal structure of ZrSbAu2 at the PBE level of DFT.

Cell: 5.6296 5.6296 5.6296 Å, 137.57 135.27 63.35°
Element x y z (fractional)
Sb: 0.4965 0.4965 0.0000
Au: 0.7308 0.2308 0.5000
Au: 0.0129 0.0129 0.0000
Zr: 0.2598 0.7598 0.5000

Computed properties:
VASP energy   -20.16 eV per cell
Crystal system   orthorhombic

Computed, not measured: an optimized crystal structure of ZrSb4Au at the PBE level of DFT.

Cell: 6.0634 6.0634 6.0634 Å, 60.00 60.00 60.00°
Element x y z (fractional)
Zr: 0.7500 0.7500 0.7500
Sb: 0.8758 0.3747 0.3747
Sb: 0.3747 0.3747 0.3747
Sb: 0.3747 0.8758 0.3747
Sb: 0.3747 0.3747 0.8758
Au: 0.0000 0.0000 0.0000

Computed properties:
VASP energy   -25.97 eV per cell
Crystal system   cubic

Computed, not measured: an optimized crystal structure of Zr2SbAu at the PBE level of DFT.

Cell: 3.2062 4.1636 6.3601 Å, 90.00 90.00 90.00°
Element x y z (fractional)
Sb: 0.5000 0.5000 0.7500
Zr: 0.0000 0.0000 0.4897
Zr: 0.0000 0.0000 0.0103
Au: 0.5000 0.5000 0.2500

Computed properties:
VASP energy   -26.41 eV per cell
Crystal system   orthorhombic

Computed, not measured: an optimized crystal structure of Zr2SbAu at the PBE level of DFT.

Cell: 7.7415 7.7415 6.2779 Å, 51.93 51.93 90.00°
Element x y z (fractional)
Zr: 0.6362 0.1250 0.2500
Zr: 0.3750 0.3638 0.7500
Zr: 0.1138 0.6250 0.2500
Zr: 0.8750 0.8862 0.7500
Sb: 0.2500 0.7500 0.5000
Sb: 0.5000 0.5000 0.0000
Au: 0.0000 0.0000 0.0000
Au: 0.7500 0.2500 0.5000

Computed properties:
VASP energy   -51.50 eV per cell
Crystal system   tetragonal

Computed, not measured: an optimized crystal structure of Zr2SbAu at the PBE level of DFT.

Cell: 5.6915 5.6915 5.6915 Å, 138.35 135.30 62.74°
Element x y z (fractional)
Zr: 0.0007 0.0007 0.0000
Zr: 0.7410 0.2410 0.5000
Sb: 0.2623 0.7623 0.5000
Au: 0.4960 0.4960 0.0000

Computed properties:
VASP energy   -26.41 eV per cell
Crystal system   orthorhombic

Computed, not measured: an optimized crystal structure of Zr2SbAu at the PBE level of DFT.

Cell: 3.1890 3.1890 8.9867 Å, 90.00 90.00 89.92°
Element x y z (fractional)
Sb: 0.5000 0.5000 0.7529
Zr: 0.5000 0.5000 0.2617
Zr: 0.0000 0.0000 0.0084
Au: 0.0000 0.0000 0.4771

Computed properties:
VASP energy   -25.51 eV per cell
Crystal system   tetragonal

Computed, not measured: an optimized crystal structure of ZrSbAu4 at the PBE level of DFT.

Cell: 5.5823 5.5823 5.5823 Å, 60.00 60.00 60.00°
Element x y z (fractional)
Au: 0.3746 0.3746 0.3746
Au: 0.8761 0.3746 0.3746
Au: 0.3746 0.3746 0.8761
Au: 0.3746 0.8761 0.3746
Sb: 0.7500 0.7500 0.7500
Zr: 0.0000 0.0000 0.0000

Computed properties:
VASP energy   -26.16 eV per cell
Crystal system   cubic

Computed, not measured: an optimized crystal structure of ZrSbAu3 at the PBE level of DFT.

Cell: 5.0910 5.0910 5.0910 Å, 90.00 90.00 90.00°
Each line ends with the local moment (μB).
Element x y z (fractional)
Sb: 0.0000 0.0000 0.0000  -0.01
Au: 0.5000 0.0000 0.0000  0.00
Au: 0.0000 0.5000 0.0000  -0.01
Au: 0.0000 0.0000 0.5000  0.00
Zr: 0.5000 0.5000 0.5000  0.87

Computed properties:
Distance to the lowest polymorph of the same formula   0.0 meV/atom
Crystal system   cubic

Computed, not measured: an optimized crystal structure of Zr2SbAu at the PBE level of DFT.

Cell: 4.6083 4.5101 4.0855 Å, 90.00 90.00 90.00°
Element x y z (fractional)
Zr: 0.0000 0.0000 0.0000
Zr: 0.5000 0.5000 0.0000
Au: 0.5000 0.0000 0.5000
Sb: 0.0000 0.5000 0.5000

Computed properties:
VASP energy   -26.56 eV per cell
Crystal system   orthorhombic

Computed, not measured: an optimized crystal structure of ZrSbAu2 at the PBE level of DFT.

Cell: 7.7931 7.7931 6.2304 Å, 51.29 51.29 90.00°
Element x y z (fractional)
Sb: 0.0000 0.0000 0.0000
Sb: 0.7500 0.2500 0.5000
Au: 0.1173 0.6250 0.2500
Au: 0.3750 0.3673 0.7500
Au: 0.8750 0.8827 0.7500
Au: 0.6327 0.1250 0.2500
Zr: 0.2500 0.7500 0.5000
Zr: 0.5000 0.5000 0.0000

Computed properties:
VASP energy   -40.36 eV per cell
Crystal system   tetragonal

Computed, not measured: an optimized crystal structure of ZrSbAu2 at the PBE level of DFT.

Cell: 4.8869 4.8869 4.8869 Å, 60.00 60.00 60.00°
Element x y z (fractional)
Au: 0.2500 0.2500 0.2500
Au: 0.0000 0.0000 0.0000
Sb: 0.5000 0.5000 0.5000
Zr: 0.7500 0.7500 0.7500

Computed properties:
VASP energy   -20.12 eV per cell
Crystal system   cubic

Computed, not measured: an optimized crystal structure of Zr2SbAu at the PBE level of DFT.

Cell: 4.9823 4.9823 3.5253 Å, 89.95 89.95 103.67°
Element x y z (fractional)
Zr: 0.0000 0.0000 0.0000
Zr: 0.5000 0.5000 0.0000
Au: 0.5000 0.0000 0.5000
Sb: 0.0000 0.5000 0.5000

Computed properties:
VASP energy   -26.55 eV per cell
Crystal system   orthorhombic

Computed, not measured: an optimized crystal structure of ZrSbAu2 at the PBE level of DFT.

Cell: 5.4493 5.4493 5.4493 Å, 134.21 134.20 66.78°
Element x y z (fractional)
Au: 0.5001 0.5001 0.0000
Au: 0.9999 0.9999 0.0000
Sb: 0.7500 0.2500 0.5000
Zr: 0.2500 0.7500 0.5000

Computed properties:
VASP energy   -20.62 eV per cell
Crystal system   tetragonal

Computed, not measured: an optimized crystal structure of ZrSbAu2 at the PBE level of DFT.

Cell: 4.2053 4.2053 4.6033 Å, 90.00 90.00 90.00°
Element x y z (fractional)
Au: 0.5000 0.5000 0.0000
Au: 0.0000 0.0000 0.0000
Zr: 0.0000 0.5000 0.5000
Sb: 0.5000 0.0000 0.5000

Computed properties:
VASP energy   -20.75 eV per cell
Crystal system   tetragonal

Computed, not measured: an optimized crystal structure of ZrSbAu2 at the PBE level of DFT.

Cell: 8.7015 8.7015 8.7015 Å, 23.08 23.08 23.08°
Element x y z (fractional)
Au: 0.0003 0.0003 0.0003
Au: 0.2534 0.2534 0.2534
Sb: 0.5019 0.5019 0.5019
Zr: 0.7444 0.7444 0.7444

Computed properties:
VASP energy   -19.72 eV per cell
Crystal system   trigonal